# 1
Here is a geometry-optimized YTaI2N structure from the Alexandria database. Energies are from GGA-PBEsol.

Summary:
E_form (uncorrected): 0.78 eV/atom
Energy: -5.511 eV/atom
Density: 6.5 Mg/m³

Structure (POSCAR):
```
YTaI2N
1.0
5.915 0.000 0.000
0.000 5.915 0.000
0.000 0.000 3.948
Y Ta I N
1 1 2 1
direct
0.000 0.000 0.000
0.500 0.500 0.500
0.000 0.500 0.000
0.500 0.000 0.000
0.000 0.000 0.500
```

# 2
Here is a geometry-optimized TcI2N structure from the Alexandria database. Energies are from GGA-PBEsol.

Summary:
E_form (uncorrected): 1.46 eV/atom
Energy: -4.374 eV/atom
Density: 6.7 Mg/m³

Structure (POSCAR):
```
TcI2N
1.0
5.546 0.000 0.000
0.000 5.546 0.000
0.000 0.000 11.811
Tc I N
4 8 4
direct
0.000 0.000 0.000
0.000 0.500 0.250
0.500 0.000 0.750
0.500 0.500 0.500
0.226 0.250 0.625
0.250 0.726 0.875
0.250 0.774 0.375
0.274 0.250 0.125
0.726 0.750 0.125
0.750 0.226 0.375
0.750 0.274 0.875
0.774 0.750 0.625
0.000 0.000 0.500
0.000 0.500 0.750
0.500 0.000 0.250
0.500 0.500 0.000
```